Record 1
Compound: MnCd4H2
Source: Alexandria
Functional: GGA-PBE
Structure: relaxed

```
7
Lattice="5.470 0.000 0.000 0.000 5.470 0.000 2.735 2.735 5.311" Properties=species:S:1:pos:R:3 pbc="T T T"
Cd 2.735 2.735 2.611
H 5.470 5.470 4.905
Cd 5.470 5.470 2.700
Cd 2.735 0.000 0.000
Mn 0.000 0.000 0.000
Cd 0.000 2.735 0.000
H 2.735 2.735 0.406
```

The value obtained for the calculated density is 5.3 g/cm3. The uncorrected energy is -2.308 eV per atom. The density of states at the Fermi level comes out at 4.5 states/eV/cell. The space group is No. 139. As for the crystal system: tetragonal. The total magnetization comes out at 4.10 μB/cell.

Record 2
Compound: ZnAg2Pt
Source: Alexandria
Functional: GGA-PBE
Structure: relaxed

```
4
Lattice="-2.846 -3.984 0.325 -1.478 -4.096 -2.262 3.046 -3.459 1.761" Properties=species:S:1:pos:R:3 pbc="T T T"
Pt -0.515 -5.761 -0.023
Ag -0.022 -0.095 -0.008
Ag -0.330 -2.851 -0.051
Zn -1.050 -8.601 -0.184
```

The value obtained for the calculated density is 12.1 g/cm3. The uncorrected energy is -3.375 eV per atom. The density of states at the Fermi level comes out at 1.2 states/eV/cell. The space group is No. 8. As for the crystal system: monoclinic. The total magnetization comes out at 0.00 μB/cell.

Record 3
Compound: HfTi2Ga2
Source: Alexandria
Functional: GGA-PBE
Structure: relaxed

```
10
Lattice="7.810 0.000 0.000 0.000 7.810 0.000 0.000 0.000 2.841" Properties=species:S:1:pos:R:3 pbc="T T T"
Ga 5.289 6.426 1.421
Ti 2.967 6.872 0.000
Ti 4.843 0.938 0.000
Hf 3.905 3.905 0.000
Ti 0.938 2.967 0.000
Ga 6.426 2.521 1.421
Ti 6.872 4.843 0.000
Ga 1.384 5.289 1.421
Ga 2.521 1.384 1.421
Hf 0.000 0.000 0.000
```

The value obtained for the calculated density is 7.9 g/cm3. The uncorrected energy is -6.592 eV per atom. The density of states at the Fermi level comes out at 11.3 states/eV/cell. The relative energy among the computed polymorphs is 0.93 eV/f.u. The space group is No. 127. As for the crystal system: tetragonal. The total magnetization comes out at 0.00 μB/cell.

Record 4
Compound: AgBr2
Source: Alexandria
Functional: GGA-PBE
Structure: relaxed

```
3
Lattice="3.844 0.000 0.000 1.922 4.378 0.000 1.922 0.000 6.405" Properties=species:S:1:pos:R:3 pbc="T T T"
Ag 1.922 0.000 0.000
Br 3.844 0.000 1.762
Br 1.922 0.000 4.643
```

The value obtained for the calculated density is 4.1 g/cm3. The uncorrected energy is -2.261 eV per atom. The density of states at the Fermi level comes out at 2.6 states/eV/cell. The space group is No. 69. As for the crystal system: orthorhombic. The total magnetization comes out at 0.00 μB/cell.

Repeat the second record exactly.
Compound: ZnAg2Pt
Source: Alexandria
Functional: GGA-PBE
Structure: relaxed

```
4
Lattice="-2.846 -3.984 0.325 -1.478 -4.096 -2.262 3.046 -3.459 1.761" Properties=species:S:1:pos:R:3 pbc="T T T"
Pt -0.515 -5.761 -0.023
Ag -0.022 -0.095 -0.008
Ag -0.330 -2.851 -0.051
Zn -1.050 -8.601 -0.184
```

The value obtained for the calculated density is 12.1 g/cm3. The uncorrected energy is -3.375 eV per atom. The density of states at the Fermi level comes out at 1.2 states/eV/cell. The space group is No. 8. As for the crystal system: monoclinic. The total magnetization comes out at 0.00 μB/cell.